No. 1
4
Lattice="0.002 -0.684 -2.672 2.114 -3.642 0.934 -4.060 -2.100 1.001" Properties=species:S:1:pos:R:3 comment="ScCr2Si, single point on PBEsol structure, DFT SCAN" formation_energy_uncorrected_ev_per_atom=0.216 mass_density_g_cm3=5.3 pbc="T T T"
Cr -0.954 -0.608 -0.212
Cr -3.104 -2.176 -1.459
Si -0.973 -2.871 0.968
Sc 1.058 -2.163 -0.869



No. 2
5
Lattice="-3.476 1.757 2.572 -0.203 -3.974 2.440 3.108 1.706 3.036" Properties=species:S:1:pos:R:3 comment="Sc3CrSi, single point on PBEsol structure, DFT SCAN" formation_energy_uncorrected_ev_per_atom=0.515 mass_density_g_cm3=3.5 pbc="T T T"
Cr 0.000 0.000 0.000
Sc -1.738 0.878 1.286
Sc -0.101 -1.987 1.220
Sc 1.554 0.853 1.518
Si -0.285 -0.256 4.024



No. 3
8
Lattice="-1.620 2.844 2.770 -2.548 -3.039 1.630 7.749 -1.820 3.081" Properties=species:S:1:pos:R:3 comment="ScCrSi2, single point on PBEsol structure, DFT SCAN" formation_energy_uncorrected_ev_per_atom=0.151 mass_density_g_cm3=3.5 pbc="T T T"
Si 2.856 -1.904 5.285
Si 3.092 -4.011 4.267
Si -0.678 -2.438 2.855
Si 0.962 -1.560 1.415
Cr 1.558 -2.478 3.456
Cr 0.000 0.000 0.000
Sc -2.084 -0.098 2.200
Sc 2.022 0.463 4.026



No. 4
4
Lattice="-2.832 -0.671 -0.257 0.401 -0.607 -2.830 1.315 -6.125 1.501" Properties=species:S:1:pos:R:3 comment="ScCr2Si, single point on PBEsol structure, DFT SCAN" formation_energy_uncorrected_ev_per_atom=-0.096 mass_density_g_cm3=5.3 pbc="T T T"
Cr 0.012 -0.056 0.014
Cr -0.959 -1.832 -1.251
Si -0.164 -5.540 -0.343
Sc 0.652 -3.038 0.744



No. 5
4
Lattice="2.655 -0.003 0.000 -0.656 2.573 0.000 0.000 0.000 7.937" Properties=species:S:1:pos:R:3 comment="ScCr2Si, single point on PBEsol structure, DFT SCAN" formation_energy_uncorrected_ev_per_atom=0.235 mass_density_g_cm3=5.4 pbc="T T T"
Si 1.000 1.285 0.000
Cr 0.000 0.000 1.721
Cr 0.000 0.000 6.216
Sc 1.000 1.285 3.968



No. 6
4
Lattice="-2.483 1.494 0.589 -0.210 -1.377 2.607 3.483 4.700 2.763" Properties=species:S:1:pos:R:3 comment="ScCrSi2, single point on PBEsol structure, DFT SCAN" formation_energy_uncorrected_ev_per_atom=-0.323 mass_density_g_cm3=4.5 pbc="T T T"
Cr -1.347 0.058 1.598
Si 0.679 0.916 0.538
Si 2.804 3.784 2.225
Sc 0.395 2.408 2.980



No. 7
4
Lattice="-2.251 -3.110 -0.167 2.804 -2.116 1.600 -1.387 0.816 3.509" Properties=species:S:1:pos:R:3 comment="ScCrSi2, single point on PBEsol structure, DFT SCAN" formation_energy_uncorrected_ev_per_atom=-0.253 mass_density_g_cm3=4.4 pbc="T T T"
Si -0.693 0.408 1.754
Si 1.402 -1.058 0.800
Sc -1.125 -1.555 -0.083
Cr -0.417 -2.205 2.471



No. 8
5
Lattice="4.517 0.000 0.000 0.000 4.517 0.000 0.000 0.000 4.517" Properties=species:S:1:pos:R:3 comment="ScCr3Sn, single point on PBEsol structure, DFT SCAN" mass_density_g_cm3=5.8 ef_ev_per_atom=1.446 pbc="T T T"
Cr 0.000 0.000 2.259
Cr 2.259 0.000 0.000
Cr 0.000 2.259 0.000
Sc 0.000 0.000 0.000
Sn 2.259 2.259 2.259